(1)
Entry from the Alexandria database: an optimized crystal structure of Rb2HfGaS4 (PBE-GGA).

Computed properties:
The energy relative to the elements, uncorrected comes out at -1122 meV/atom. Its total moment is 0.00 Bohr magnetons per cell.

Cell lengths 6.467, 14.066, 23.983 Å; angles 90.00, 90.00, 90.00 degrees
Space group Fddd (No. 70, origin choice 2)
One atom of each set of equivalent atoms:
1 Rb 0.125 0.125 0.305 [16 per cell]
2 Hf 0.125 0.125 0.125 [8 per cell]
3 Ga 0.125 0.125 0.625 [8 per cell]
4 S 0.121 0.282 0.426 [32 per cell]

***

(2)
Entry from the Alexandria database: an optimized crystal structure of RuRh5 (PBE-GGA).

Computed properties:
Its final energy is -91.766 eV per cell. Its total moment is 0.00 Bohr magnetons per cell.

Cell lengths 9.989, 2.718, 6.460 Å; angles 90.00, 104.54, 90.00 degrees
Space group Cm (No. 8)
One atom of each set of equivalent atoms:
1 Ru 0.000 0.000 0.000 [2 per cell]
2 Rh 0.107 0.500 0.723 [2 per cell]
3 Rh 0.163 0.500 0.328 [2 per cell]
4 Rh 0.278 0.000 0.052 [2 per cell]
5 Rh 0.334 0.000 0.670 [2 per cell]
6 Rh 0.444 0.500 0.387 [2 per cell]

***

(3)
Entry from the Alexandria database: an optimized crystal structure of Rb2CaIF6 (PBE-GGA).

Computed properties:
The energy relative to the elements, uncorrected comes out at -2448 meV/atom. Its total moment is 2.00 Bohr magnetons per cell.

Cell lengths 7.113, 7.113, 8.739 Å; angles 90.00, 90.00, 90.00 degrees
Space group I4/mmm (No. 139)
One atom of each set of equivalent atoms:
1 Rb 0.000 0.500 0.250 [4 per cell]
2 Ca 0.000 0.000 0.000 [2 per cell]
3 I 0.000 0.000 0.500 [2 per cell]
4 F 0.000 0.000 0.263 [4 per cell]
5 F 0.220 0.220 0.000 [8 per cell]

***

(4)
Entry from the Alexandria database: an optimized crystal structure of ZrFeSe3 (PBE-GGA).

Computed properties:
The energy relative to the elements, uncorrected comes out at 91 meV/atom. Its total moment is 3.91 Bohr magnetons per cell.

Cell lengths 5.198, 5.198, 5.198 Å; angles 90.00, 90.00, 90.00 degrees
Space group Pm-3m (No. 221)
One atom of each set of equivalent atoms:
1 Zr 0.000 0.000 0.000 [1 per cell]
2 Fe 0.500 0.500 0.500 [1 per cell]
3 Se 0.000 0.000 0.500 [3 per cell]